# HfCoHRu2

A geometry-optimized HfCoHRu2 structure (PBE-GGA, the Alexandria database).

* energy above the most stable polymorph in this dataset: 0.000 eV/atom
* magnetization: 0.7 Bohr magnetons per cell
* DOS at the Fermi energy: 6.82 states/eV/cell
* total energy: -0.2957 Ha/atom

Cell: 3.9784 3.9784 3.7942 Å, 90.00 90.00 90.00°
Space group P4/mmm (No. 123)
Inequivalent atoms, fractional coordinates:
Hf1 0.0000 0.0000 0.0000 (multiplicity 1)
Co1 0.5000 0.5000 0.0000 (multiplicity 1)
H1 0.5000 0.5000 0.5000 (multiplicity 1)
Ru1 0.0000 0.5000 0.5000 (multiplicity 2)

---

# Hf2CoHRu

A geometry-optimized Hf2CoHRu structure (PBE-GGA, the Alexandria database).

* energy above the most stable polymorph in this dataset: 0.126 eV/atom
* magnetization: 0.8 Bohr magnetons per cell
* DOS at the Fermi energy: 3.40 states/eV/cell
* total energy: -0.3052 Ha/atom

Cell: 4.4861 4.4861 3.4558 Å, 90.00 90.00 90.00°
Space group P4/mmm (No. 123)
Inequivalent atoms, fractional coordinates:
Hf1 0.0000 0.5000 0.0000 (multiplicity 2)
Co1 0.0000 0.0000 0.5000 (multiplicity 1)
H1 0.5000 0.5000 0.0000 (multiplicity 1)
Ru1 0.5000 0.5000 0.5000 (multiplicity 1)

---

# HfCo2SbH

A geometry-optimized HfCo2SbH structure (PBE-GGA, the Alexandria database).

* magnetization: 1.9 Bohr magnetons per cell
* DOS at the Fermi energy: 3.35 states/eV/cell
* total energy: -0.2378 Ha/atom

Cell: 4.0461 4.0461 3.9562 Å, 90.00 90.00 90.00°
Space group P4/mmm (No. 123)
Inequivalent atoms, fractional coordinates:
Hf1 0.0000 0.0000 0.0000 (multiplicity 1)
Co1 0.0000 0.5000 0.5000 (multiplicity 2)
Sb1 0.5000 0.5000 0.0000 (multiplicity 1)
H1 0.0000 0.0000 0.5000 (multiplicity 1)

---

# Hf2CoSbH

A geometry-optimized Hf2CoSbH structure (PBE-GGA, the Alexandria database).

* magnetization: 1.2 Bohr magnetons per cell
* DOS at the Fermi energy: 3.53 states/eV/cell
* total energy: -0.2627 Ha/atom

Cell: 4.3291 4.3291 4.0349 Å, 90.00 90.00 90.00°
Space group P4/mmm (No. 123)
Inequivalent atoms, fractional coordinates:
Hf1 0.0000 0.5000 0.0000 (multiplicity 2)
Co1 0.0000 0.0000 0.5000 (multiplicity 1)
Sb1 0.5000 0.5000 0.5000 (multiplicity 1)
H1 0.0000 0.0000 0.0000 (multiplicity 1)

---

# HfCo2SiH

A geometry-optimized HfCo2SiH structure (PBE-GGA, the Alexandria database).

* magnetization: 0.0 Bohr magnetons per cell
* DOS at the Fermi energy: 6.04 states/eV/cell
* total energy: -0.2638 Ha/atom

Cell: 3.5352 9.6789 6.5751 Å, 90.00 90.00 90.00°
Space group Cmcm (No. 63)
Inequivalent atoms, fractional coordinates:
Hf1 0.0000 0.0632 0.2500 (multiplicity 4)
Co1 0.0000 0.3427 0.0541 (multiplicity 8)
Si1 0.0000 0.2206 0.7500 (multiplicity 4)
H1 0.0000 0.5000 0.0000 (multiplicity 4)

---

# HfCo2SnH

A geometry-optimized HfCo2SnH structure (PBE-GGA, the Alexandria database).

* energy above the most stable polymorph in this dataset: 0.000 eV/atom
* magnetization: 1.5 Bohr magnetons per cell
* DOS at the Fermi energy: 3.81 states/eV/cell
* total energy: -0.2361 Ha/atom

Cell: 4.0978 4.0978 3.8502 Å, 90.00 90.00 90.00°
Space group P4/mmm (No. 123)
Inequivalent atoms, fractional coordinates:
Hf1 0.0000 0.0000 0.0000 (multiplicity 1)
Co1 0.0000 0.5000 0.5000 (multiplicity 2)
Sn1 0.5000 0.5000 0.0000 (multiplicity 1)
H1 0.0000 0.0000 0.5000 (multiplicity 1)

---

# HfCo2SnH

A geometry-optimized HfCo2SnH structure (PBE-GGA, the Alexandria database).

* energy above the most stable polymorph in this dataset: 0.249 eV/atom
* magnetization: 0.0 Bohr magnetons per cell
* DOS at the Fermi energy: 3.56 states/eV/cell
* total energy: -0.2269 Ha/atom

Cell: 4.0196 4.0196 4.0371 Å, 90.00 90.00 90.00°
Space group P4/mmm (No. 123)
Inequivalent atoms, fractional coordinates:
Hf1 0.0000 0.0000 0.0000 (multiplicity 1)
Co1 0.0000 0.5000 0.5000 (multiplicity 2)
Sn1 0.5000 0.5000 0.0000 (multiplicity 1)
H1 0.5000 0.5000 0.5000 (multiplicity 1)

---

# HfCoTc2H

A geometry-optimized HfCoTc2H structure (PBE-GGA, the Alexandria database).

* magnetization: 0.4 Bohr magnetons per cell
* DOS at the Fermi energy: 5.85 states/eV/cell
* total energy: -0.3051 Ha/atom

Cell: 3.9440 3.9440 3.9746 Å, 90.00 90.00 90.00°
Space group P4/mmm (No. 123)
Inequivalent atoms, fractional coordinates:
Hf1 0.0000 0.0000 0.0000 (multiplicity 1)
Co1 0.5000 0.5000 0.0000 (multiplicity 1)
Tc1 0.0000 0.5000 0.5000 (multiplicity 2)
H1 0.5000 0.5000 0.5000 (multiplicity 1)

---

# HfCo2TcH

A geometry-optimized HfCo2TcH structure (PBE-GGA, the Alexandria database).

* energy above the most stable polymorph in this dataset: 0.000 eV/atom
* magnetization: 0.0 Bohr magnetons per cell
* DOS at the Fermi energy: 5.23 states/eV/cell
* total energy: -0.2839 Ha/atom

Cell: 3.8146 3.8146 3.9175 Å, 90.00 90.00 90.00°
Space group P4/mmm (No. 123)
Inequivalent atoms, fractional coordinates:
Hf1 0.0000 0.0000 0.0000 (multiplicity 1)
Co1 0.0000 0.5000 0.5000 (multiplicity 2)
Tc1 0.5000 0.5000 0.0000 (multiplicity 1)
H1 0.5000 0.5000 0.5000 (multiplicity 1)

---

# HfCo2TcH

A geometry-optimized HfCo2TcH structure (PBE-GGA, the Alexandria database).

* energy above the most stable polymorph in this dataset: 0.036 eV/atom
* magnetization: 0.0 Bohr magnetons per cell
* DOS at the Fermi energy: 3.70 states/eV/cell
* total energy: -0.2826 Ha/atom

Cell: 3.7683 3.7683 4.0186 Å, 90.00 90.00 90.00°
Space group P4/mmm (No. 123)
Inequivalent atoms, fractional coordinates:
Hf1 0.0000 0.0000 0.0000 (multiplicity 1)
Co1 0.0000 0.5000 0.5000 (multiplicity 2)
Tc1 0.5000 0.5000 0.0000 (multiplicity 1)
H1 0.0000 0.0000 0.5000 (multiplicity 1)

---

# HfCoTeH2

A geometry-optimized HfCoTeH2 structure (PBE-GGA, the Alexandria database).

* magnetization: 0.0 Bohr magnetons per cell
* DOS at the Fermi energy: 3.01 states/eV/cell
* total energy: -0.1744 Ha/atom

Cell: 3.7230 3.7230 6.0824 Å, 90.00 90.00 90.00°
Space group P4/mmm (No. 123)
Inequivalent atoms, fractional coordinates:
Hf1 0.0000 0.0000 0.0000 (multiplicity 1)
Co1 0.5000 0.5000 0.0000 (multiplicity 1)
Te1 0.0000 0.0000 0.5000 (multiplicity 1)
H1 0.0000 0.5000 0.5000 (multiplicity 2)

---

# HfThCo2H6

A geometry-optimized HfThCo2H6 structure (PBE-GGA, the Alexandria database).

* magnetization: 6.1 Bohr magnetons per cell
* DOS at the Fermi energy: 3.77 states/eV/cell
* total energy: -0.2062 Ha/atom

Cell: 4.4447 4.4447 16.1025 Å, 90.00 90.00 120.00°
Space group R-3m (No. 166, hexagonal axes)
Inequivalent atoms, fractional coordinates:
Hf1 0.0000 0.0000 0.0000 (multiplicity 3)
Th1 0.0000 0.0000 0.5000 (multiplicity 3)
Co1 0.0000 0.0000 0.2887 (multiplicity 6)
H1 0.0118 0.5059 0.5638 (multiplicity 18)

---

# Hf2VCoH

A geometry-optimized Hf2VCoH structure (PBE-GGA, the Alexandria database).

* energy above the most stable polymorph in this dataset: 0.789 eV/atom
* magnetization: 0.0 Bohr magnetons per cell
* DOS at the Fermi energy: 5.28 states/eV/cell
* total energy: -0.2665 Ha/atom

Cell: 4.9325 4.9325 3.1571 Å, 90.00 90.00 90.00°
Space group P4/mmm (No. 123)
Inequivalent atoms, fractional coordinates:
Hf1 0.0000 0.5000 0.0000 (multiplicity 2)
V1 0.0000 0.0000 0.0000 (multiplicity 1)
Co1 0.5000 0.5000 0.5000 (multiplicity 1)
H1 0.0000 0.0000 0.5000 (multiplicity 1)

---

# HfVCo2H

A geometry-optimized HfVCo2H structure (PBE-GGA, the Alexandria database).

* magnetization: 0.8 Bohr magnetons per cell
* DOS at the Fermi energy: 4.34 states/eV/cell
* total energy: -0.2729 Ha/atom

Cell: 3.8408 3.8408 3.8004 Å, 90.00 90.00 90.00°
Space group P4/mmm (No. 123)
Inequivalent atoms, fractional coordinates:
Hf1 0.0000 0.0000 0.0000 (multiplicity 1)
V1 0.5000 0.5000 0.0000 (multiplicity 1)
Co1 0.0000 0.5000 0.5000 (multiplicity 2)
H1 0.5000 0.5000 0.5000 (multiplicity 1)

---

# Hf2VCoH

A geometry-optimized Hf2VCoH structure (PBE-GGA, the Alexandria database).

* energy above the most stable polymorph in this dataset: 0.000 eV/atom
* magnetization: 0.8 Bohr magnetons per cell
* DOS at the Fermi energy: 4.66 states/eV/cell
* total energy: -0.2955 Ha/atom

Cell: 4.4849 4.4849 3.4176 Å, 90.00 90.00 90.00°
Space group P4/mmm (No. 123)
Inequivalent atoms, fractional coordinates:
Hf1 0.0000 0.5000 0.0000 (multiplicity 2)
V1 0.0000 0.0000 0.5000 (multiplicity 1)
Co1 0.5000 0.5000 0.5000 (multiplicity 1)
H1 0.0000 0.0000 0.0000 (multiplicity 1)

---

# HfCo2HW

A geometry-optimized HfCo2HW structure (PBE-GGA, the Alexandria database).

* magnetization: 0.0 Bohr magnetons per cell
* DOS at the Fermi energy: 4.69 states/eV/cell
* total energy: -0.2964 Ha/atom

Cell: 3.8788 3.8788 3.9251 Å, 90.00 90.00 90.00°
Space group P4/mmm (No. 123)
Inequivalent atoms, fractional coordinates:
Hf1 0.0000 0.0000 0.0000 (multiplicity 1)
Co1 0.0000 0.5000 0.5000 (multiplicity 2)
H1 0.5000 0.5000 0.5000 (multiplicity 1)
W1 0.5000 0.5000 0.0000 (multiplicity 1)

---

# Hf2ZrCoH

A geometry-optimized Hf2ZrCoH structure (PBE-GGA, the Alexandria database).

* magnetization: 0.0 Bohr magnetons per cell
* DOS at the Fermi energy: 7.24 states/eV/cell
* total energy: -0.2882 Ha/atom

Cell: 4.6830 4.6830 3.5098 Å, 90.00 90.00 90.00°
Space group P4/mmm (No. 123)
Inequivalent atoms, fractional coordinates:
Hf1 0.0000 0.5000 0.0000 (multiplicity 2)
Zr1 0.0000 0.0000 0.5000 (multiplicity 1)
Co1 0.5000 0.5000 0.5000 (multiplicity 1)
H1 0.5000 0.5000 0.0000 (multiplicity 1)

---

# Hf3ZrCo2H

A geometry-optimized Hf3ZrCo2H structure (PBE-GGA, the Alexandria database).

* magnetization: 0.0 Bohr magnetons per cell
* DOS at the Fermi energy: 14.78 states/eV/cell
* total energy: -0.2987 Ha/atom

Cell: 4.1848 4.2243 12.9775 Å, 90.00 90.00 90.00°
Space group Immm (No. 71)
Inequivalent atoms, fractional coordinates:
Hf1 0.0000 0.0000 0.0000 (multiplicity 2)
Hf2 0.0000 0.5000 0.1897 (multiplicity 4)
Zr1 0.0000 0.0000 0.5000 (multiplicity 2)
Co1 0.0000 0.5000 0.3702 (multiplicity 4)
H1 0.0000 0.5000 0.0000 (multiplicity 2)

---

# Co2HgH

A geometry-optimized Co2HgH structure (PBE-GGA, the Alexandria database).

* energy above the most stable polymorph in this dataset: 0.000 eV/atom
* magnetization: 11.3 Bohr magnetons per cell
* DOS at the Fermi energy: 17.28 states/eV/cell
* total energy: -0.1517 Ha/atom

Cell: 5.4207 5.4207 6.4663 Å, 90.00 90.00 90.00°
Space group I-42d (No. 122)
Inequivalent atoms, fractional coordinates:
Co1 0.0782 0.2500 0.1250 (multiplicity 8)
Hg1 0.0000 0.0000 0.5000 (multiplicity 4)
H1 0.0000 0.0000 0.0000 (multiplicity 4)

---

# Co2HgH

A geometry-optimized Co2HgH structure (PBE-GGA, the Alexandria database).

* energy above the most stable polymorph in this dataset: 0.668 eV/atom
* magnetization: 9.5 Bohr magnetons per cell
* DOS at the Fermi energy: 25.03 states/eV/cell
* total energy: -0.1272 Ha/atom

Cell: 5.8821 5.8821 5.8821 Å, 90.00 90.00 90.00°
Space group Fm-3m (No. 225)
Inequivalent atoms, fractional coordinates:
Co1 0.2500 0.2500 0.2500 (multiplicity 8)
Hg1 0.0000 0.0000 0.0000 (multiplicity 4)
H1 0.0000 0.0000 0.5000 (multiplicity 4)